Record 1
DFT (SCAN) results for a crystal of Li2TiCl relaxed with PBEsol.

Output
Its crystal system is tetragonal. The total energy comes out at -117.9 eV per cell. The uncorrected formation energy comes out at -0.1719 eV per atom.

abc: 7.4577 7.4577 4.7944
angles: 90.00 90.00 90.00
Space group I-42d (No. 122)
Asymmetric unit:
1 Li 0.1758 0.7500 0.1250 [8 per cell]
2 Ti 0.0000 0.0000 0.5000 [4 per cell]
3 Cl 0.0000 0.0000 0.0000 [4 per cell]

Record 2
DFT (SCAN) results for a crystal of AgAsPt2 relaxed with PBEsol.

Output
Its crystal system is tetragonal. The total energy comes out at -383.9 eV per cell. The energy relative to the elements comes out at 0.00 eV/f.u.

abc: 4.0172 4.0172 7.7756
angles: 90.00 90.00 90.00
Space group I4/mmm (No. 139)
Asymmetric unit:
1 Ag 0.0000 0.0000 0.0000 [2 per cell]
2 As 0.0000 0.0000 0.5000 [2 per cell]
3 Pt 0.0000 0.5000 0.2500 [4 per cell]

Record 3
DFT (SCAN) results for a crystal of Tc2Ir relaxed with PBEsol.

Output
Its crystal system is monoclinic. The total energy comes out at -568.1 eV per cell. The energy relative to the elements comes out at -0.81 eV/f.u.

abc: 9.8559 2.7172 6.4131
angles: 90.00 103.78 90.00
Space group Cm (No. 8)
Asymmetric unit:
1 Tc 0.0000 0.0000 0.0000 [2 per cell]
2 Tc 0.0565 0.0000 0.6134 [2 per cell]
3 Tc 0.2237 0.5000 0.9460 [2 per cell]
4 Tc 0.3879 0.0000 0.2780 [2 per cell]
5 Ir 0.1656 0.5000 0.3312 [2 per cell]
6 Ir 0.3348 0.0000 0.6710 [2 per cell]

Record 4
DFT (SCAN) results for a crystal of CaMoSN2 relaxed with PBEsol.

Output
Its crystal system is tetragonal. The total energy comes out at -65.5 eV per cell. The uncorrected formation energy comes out at 1.4510 eV per atom.

abc: 4.2248 4.2248 5.1059
angles: 90.00 90.00 90.00
Space group P4/mmm (No. 123)
Asymmetric unit:
1 Ca 0.0000 0.0000 0.0000 [1 per cell]
2 Mo 0.5000 0.5000 0.5000 [1 per cell]
3 S 0.0000 0.0000 0.5000 [1 per cell]
4 N 0.0000 0.5000 0.0000 [2 per cell]

Record 5
DFT (SCAN) results for a crystal of Si2NiHg relaxed with PBEsol.

Output
Its crystal system is orthorhombic. The total energy comes out at -410.3 eV per cell. The uncorrected formation energy comes out at 0.4485 eV per atom.

abc: 5.2080 5.2430 9.1015
angles: 90.00 90.00 90.00
Space group Fmmm (No. 69)
Asymmetric unit:
1 Si 0.0000 0.2500 0.2500 [8 per cell]
2 Ni 0.0000 0.0000 0.0000 [4 per cell]
3 Hg 0.0000 0.0000 0.5000 [4 per cell]

Record 6
DFT (SCAN) results for a crystal of Na2Y3Te4Cl3O12 relaxed with PBEsol.

Output
Its crystal system is monoclinic. The total energy comes out at -1575.3 eV per cell. The uncorrected formation energy comes out at -2.2565 eV per atom.

abc: 23.5681 5.4942 16.5110
angles: 90.00 133.97 90.00
Space group C2/c (No. 15)
Asymmetric unit:
1 Na 0.1642 0.2179 0.0686 [8 per cell]
2 Y 0.0000 0.2518 0.7500 [4 per cell]
3 Y 0.0011 0.2481 0.0850 [8 per cell]
4 Te 0.1354 0.2068 0.6998 [8 per cell]
5 Te 0.1380 0.3001 0.4051 [8 per cell]
6 Cl 0.2483 0.2525 0.6656 [8 per cell]
7 Cl 0.2500 0.2500 0.0000 [4 per cell]
8 O 0.0686 0.0749 0.7146 [8 per cell]
9 O 0.0700 0.4501 0.5901 [8 per cell]
10 O 0.0732 0.4297 0.2572 [8 per cell]
11 O 0.0747 0.0476 0.3873 [8 per cell]
12 O 0.0852 0.0156 0.0775 [8 per cell]
13 O 0.0860 0.4826 0.9262 [8 per cell]

Record 7
DFT (SCAN) results for a crystal of Ba4ZrCd relaxed with PBEsol.

Output
Its crystal system is cubic. The total energy comes out at -860.8 eV per cell. The energy relative to the elements comes out at 4.10 eV/f.u.

abc: 9.9119 9.9119 9.9119
angles: 90.00 90.00 90.00
Space group F-43m (No. 216)
Asymmetric unit:
1 Ba 0.1252 0.1252 0.1252 [16 per cell]
2 Zr 0.2500 0.2500 0.7500 [4 per cell]
3 Cd 0.0000 0.0000 0.5000 [4 per cell]

Record 8
DFT (SCAN) results for a crystal of Tb2C relaxed with PBEsol.

Output
Its crystal system is trigonal. The total energy comes out at -314.3 eV per cell. The energy relative to the elements comes out at -1.14 eV/f.u.

abc: 3.5460 3.5460 18.5141
angles: 90.00 90.00 120.00
Space group R-3m (No. 166, hexagonal axes)
Asymmetric unit:
1 Tb 0.0000 0.0000 0.2394 [6 per cell]
2 C 0.0000 0.0000 0.5000 [3 per cell]